Entry from the Alexandria database: crystalline Er5Nb2O12 at its relaxed geometry (PBE).

Cell: 5.8671 6.8221 7.3879 Å, 105.78 90.00 115.47°
Positions (direct):
Er 0.3008 0.6017 0.6363
Er 0.3096 0.6193 0.1780
Er 0.0000 0.0000 0.5000
Er 0.6904 0.3807 0.8220
Er 0.6992 0.3983 0.3637
Nb 0.7586 0.0000 0.0000
Nb 0.2414 0.0000 0.0000
O 0.9982 0.9964 0.1970
O 0.0994 0.6647 0.9126
O 0.5652 0.6647 0.9126
O 0.0966 0.6918 0.4271
O 0.5952 0.6918 0.4271
O 0.5014 0.0027 0.8009
O 0.4986 0.9973 0.1991
O 0.9034 0.3082 0.5729
O 0.4048 0.3082 0.5729
O 0.9006 0.3353 0.0874
O 0.4348 0.3353 0.0874
O 0.0018 0.0036 0.8030

Summary:
* electronic total energy: -8.67 eV/atom
* DOS(E_F): 0.135 states/eV per atom
* space group: No. 12
* formation energy (no corrections): -3.2826 eV/atom

***

Entry from the Alexandria database: crystalline ThSbAs2 at its relaxed geometry (PBE).

Cell: 4.0205 4.8208 4.8208 Å, 90.00 90.00 90.00°
Positions (direct):
Sb 0.5000 0.0000 0.0000
As 0.0000 0.0000 0.5000
As 0.0000 0.5000 0.0000
Th 0.5000 0.5000 0.5000

Summary:
* electronic total energy: -5.85 eV/atom
* DOS(E_F): 0.629 states/eV per atom
* space group: No. 123
* formation energy (no corrections): -0.6361 eV/atom
* offset from the most stable computed form: 0.0 kJ per mole of atoms

***

Entry from the Alexandria database: crystalline PmY2CdN at its relaxed geometry (PBE).

Cell: 5.0092 4.8402 4.8402 Å, 90.00 90.00 90.00°
Positions (direct):
Pm 0.5000 0.0000 0.0000
Y 0.0000 0.0000 0.5000
Y 0.0000 0.5000 0.0000
Cd 0.5000 0.5000 0.5000
N 0.0000 0.0000 0.0000

Summary:
* electronic total energy: -6.20 eV/atom
* DOS(E_F): 0.916 states/eV per atom
* space group: No. 123
* formation energy (no corrections): -0.8185 eV/atom

***

Entry from the Alexandria database: crystalline K2LiPbCl6 at its relaxed geometry (PBE).

Cell: 7.2655 7.5081 10.3016 Å, 90.00 90.25 90.00°
Positions (direct):
K 0.0182 0.9342 0.2486
K 0.5182 0.5658 0.7486
K 0.9818 0.0658 0.7514
K 0.4818 0.4342 0.2514
Li 0.5000 0.0000 0.5000
Li 0.0000 0.5000 0.0000
Pb 0.5000 0.0000 0.0000
Pb 0.0000 0.5000 0.5000
Cl 0.2944 0.6990 0.0427
Cl 0.7944 0.8010 0.5427
Cl 0.7056 0.3010 0.9573
Cl 0.2056 0.1990 0.4573
Cl 0.3024 0.7087 0.4536
Cl 0.8024 0.7913 0.9536
Cl 0.6976 0.2913 0.5464
Cl 0.1976 0.2087 0.0464
Cl 0.9120 0.5182 0.2418
Cl 0.4120 0.9818 0.7418
Cl 0.0880 0.4818 0.7582
Cl 0.5880 0.0182 0.2582

Summary:
* electronic total energy: -3.36 eV/atom
* DOS(E_F): 0.556 states/eV per atom
* space group: No. 14
* formation energy (no corrections): -1.4698 eV/atom

***

Entry from the Alexandria database: crystalline LiSc2Ta at its relaxed geometry (PBE).

Cell: 3.0541 5.1826 5.1826 Å, 90.00 90.00 90.00°
Positions (direct):
Li 0.5000 0.0000 0.5000
Sc 0.0000 0.0000 0.0000
Sc 0.0000 0.5000 0.5000
Ta 0.5000 0.5000 0.0000

Summary:
* electronic total energy: -6.34 eV/atom
* DOS(E_F): 1.383 states/eV per atom
* space group: No. 123
* offset from the most stable computed form: 13.6 kJ per mole of atoms
* formation energy: 0.2719 eV/atom

***

Entry from the Alexandria database: crystalline Ac3CuPd2 at its relaxed geometry (PBE).

Cell: 4.3334 12.7448 12.5471 Å, 90.00 90.00 90.00°
Positions (direct):
Ac 0.2500 0.3717 0.0609
Ac 0.7500 0.6283 0.9391
Ac 0.7500 0.8717 0.4391
Ac 0.2500 0.1283 0.5609
Ac 0.2500 0.6897 0.2111
Ac 0.7500 0.3103 0.7889
Ac 0.7500 0.1897 0.2889
Ac 0.2500 0.8103 0.7111
Ac 0.2500 0.4396 0.3789
Ac 0.7500 0.5604 0.6211
Ac 0.7500 0.9396 0.1211
Ac 0.2500 0.0604 0.8789
Cu 0.2500 0.1247 0.1229
Cu 0.7500 0.8753 0.8771
Cu 0.7500 0.6247 0.3771
Cu 0.2500 0.3753 0.6229
Pd 0.2500 0.6906 0.4837
Pd 0.7500 0.3094 0.5163
Pd 0.7500 0.1906 0.0163
Pd 0.2500 0.8094 0.9837
Pd 0.2500 0.0133 0.3172
Pd 0.7500 0.9867 0.6828
Pd 0.7500 0.5133 0.1828
Pd 0.2500 0.4867 0.8172

Summary:
* electronic total energy: -5.03 eV/atom
* DOS(E_F): 0.848 states/eV per atom
* space group: No. 62
* formation energy: -0.5657 eV/atom

***

Entry from the Alexandria database: crystalline Al2CdW at its relaxed geometry (PBE).

Cell: 4.9490 4.9490 2.8555 Å, 89.95 89.95 107.71°
Positions (direct):
Al 0.0000 0.0000 0.0000
Al 0.5000 0.5000 0.0000
W 0.0000 0.5000 0.5000
Cd 0.5000 0.0000 0.5000

Summary:
* electronic total energy: -5.15 eV/atom
* DOS(E_F): 0.315 states/eV per atom
* space group: No. 65
* formation energy: 0.1888 eV/atom

***

Entry from the Alexandria database: crystalline NdSn3Rh5 at its relaxed geometry (PBE).

Cell: 4.0597 7.2165 13.1142 Å, 90.00 90.00 106.34°
Positions (direct):
Nd 0.8943 0.7885 0.7500
Nd 0.1057 0.2115 0.2500
Sn 0.3777 0.7553 0.9556
Sn 0.8661 0.7323 0.2500
Sn 0.3777 0.7553 0.5444
Sn 0.6223 0.2447 0.4556
Sn 0.1339 0.2677 0.7500
Sn 0.6223 0.2447 0.0444
Rh 0.8067 0.6135 0.4358
Rh 0.1933 0.3865 0.9358
Rh 0.0000 0.0000 0.5000
Rh 0.0000 0.0000 0.0000
Rh 0.4562 0.9124 0.1464
Rh 0.5438 0.0876 0.8536
Rh 0.5438 0.0876 0.6464
Rh 0.8067 0.6135 0.0642
Rh 0.1933 0.3865 0.5642
Rh 0.4562 0.9124 0.3536

Summary:
* electronic total energy: -6.35 eV/atom
* DOS(E_F): 0.940 states/eV per atom
* space group: No. 63
* formation energy: -0.4040 eV/atom

***

Entry from the Alexandria database: crystalline Rb2U2BiTe6 at its relaxed geometry (PBE).

Cell: 7.8024 7.8024 9.1583 Å, 97.95 97.95 120.17°
Site moments in Bohr magnetons follow the coordinates.
Positions (direct):
Rb 0.8363 0.1637 0.0000  0.00
Rb 0.1637 0.8363 0.0000  0.00
U 0.3330 0.6670 0.5000  2.54
U 0.6670 0.3330 0.5000  2.54
Bi 0.0000 0.0000 0.5000  0.00
Te 0.7226 0.7226 0.6995  -0.05
Te 0.0658 0.4048 0.6988  -0.05
Te 0.2774 0.2774 0.3005  -0.05
Te 0.4048 0.0658 0.6988  -0.05
Te 0.9342 0.5952 0.3012  -0.05
Te 0.5952 0.9342 0.3012  -0.05

Summary:
* electronic total energy: -5.01 eV/atom
* DOS(E_F): 1.399 states/eV per atom
* space group: No. 12
* formation energy (no corrections): -0.7118 eV/atom

***

Entry from the Alexandria database: crystalline RbNaUF6 at its relaxed geometry (PBE).

Cell: 8.7119 8.1294 8.4567 Å, 118.73 121.00 90.00°
Site moments in Bohr magnetons follow the coordinates.
Positions (direct):
Rb 0.7658 0.5158 0.5316  0.00
Rb 0.2342 0.4842 0.4684  0.00
Na 0.5000 0.5000 0.0000  0.00
Na 0.5000 0.0000 0.0000  0.00
U 0.5000 0.0000 0.5000  2.02
U 0.0000 0.0000 0.5000  2.02
F 0.4419 0.6919 0.8837  0.00
F 0.8160 0.0660 0.6319  -0.01
F 0.8320 0.0910 0.2840  -0.02
F 0.4520 0.6930 0.2840  -0.02
F 0.4520 0.0910 0.2840  -0.02
F 0.8320 0.6930 0.2840  -0.02
F 0.5581 0.3081 0.1163  0.00
F 0.1840 0.9340 0.3681  -0.01
F 0.1680 0.9090 0.7160  -0.02
F 0.5480 0.3070 0.7160  -0.02
F 0.5480 0.9090 0.7160  -0.02
F 0.1680 0.3070 0.7160  -0.02

Summary:
* electronic total energy: -5.93 eV/atom
* DOS(E_F): 0.395 states/eV per atom
* space group: No. 74
* formation energy (no corrections): -3.1749 eV/atom

***

Entry from the Alexandria database: crystalline SrZn3Ga at its relaxed geometry (PBE).

Cell: 4.9440 4.9440 4.9440 Å, 90.00 90.00 90.00°
Positions (direct):
Sr 0.5000 0.5000 0.5000
Zn 0.0000 0.5000 0.0000
Zn 0.0000 0.0000 0.5000
Zn 0.5000 0.0000 0.0000
Ga 0.0000 0.0000 0.0000

Summary:
* electronic total energy: -1.68 eV/atom
* DOS(E_F): 0.634 states/eV per atom
* space group: No. 221
* offset from the most stable computed form: 31.1 kJ per mole of atoms
* formation energy: 0.0285 eV/atom

***

Entry from the Alexandria database: crystalline ScMn2Fe at its relaxed geometry (PBE).

Cell: 3.0981 4.0956 4.3121 Å, 90.00 90.00 90.00°
Site moments in Bohr magnetons follow the coordinates.
Positions (direct):
Fe 0.0000 0.5000 0.5000  0.31
Mn 0.0000 0.0000 0.0000  -2.32
Mn 0.5000 0.5000 0.0000  2.93
Sc 0.5000 0.0000 0.5000  0.02

Summary:
* electronic total energy: -8.16 eV/atom
* DOS(E_F): 0.816 states/eV per atom
* space group: No. 47
* offset from the most stable computed form: 2.6 kJ per mole of atoms
* formation energy: 0.1234 eV/atom